Entry 1:
This record from the Alexandria database describes crystalline PmHo12Sc6 at its relaxed geometry. The functional is PBE.

a b c (Å): 10.4100 10.4100 10.4100
angles (deg): 90.00 90.00 90.00
Space group Im-3 (No. 204)
Symmetry-distinct sites (fractional):
Pm1 0.0000 0.0000 0.0000 [2 per cell]
Ho1 0.0000 0.1970 0.2667 [24 per cell]
Sc1 0.0000 0.3625 0.5000 [12 per cell]

Summary:
E above lowest polymorph	0	meV/atom
VASP energy	-4.90	eV/atom
ΔH_f (0 K)	4.65	eV/f.u.



Entry 2:
This record from the Alexandria database describes crystalline Na3Sn2I7 at its relaxed geometry. The functional is PBE.

a b c (Å): 28.0301 8.1196 8.5593
angles (deg): 90.00 90.00 90.00
Space group Cmc2_1 (No. 36)
Symmetry-distinct sites (fractional):
Na1 0.0000 0.2405 0.0000 [4 per cell]
Na2 0.1914 0.2573 0.1544 [8 per cell]
Sn1 0.1084 0.2525 0.5587 [8 per cell]
I1 0.0000 0.1163 0.6477 [4 per cell]
I2 0.0793 0.4116 0.2213 [8 per cell]
I3 0.1439 0.0645 0.8583 [8 per cell]
I4 0.2104 0.3889 0.5046 [8 per cell]

Summary:
raw formation energy	-0.8573	eV/atom
VASP energy	-2.76	eV/atom



Entry 3:
This record from the Alexandria database describes crystalline ScRePt3 at its relaxed geometry. The functional is PBE.

a b c (Å): 4.8277 4.8277 4.8277
angles (deg): 90.00 90.00 90.00
Space group Pm-3m (No. 221)
Symmetry-distinct sites (fractional):
Sc1 0.0000 0.0000 0.0000 [1 per cell]
Re1 0.5000 0.5000 0.5000 [1 per cell]
Pt1 0.0000 0.5000 0.5000 [3 per cell]

Summary:
E above lowest polymorph	0	meV/atom
VASP energy	-6.82	eV/atom
ΔH_f (0 K)	2.83	eV/f.u.



Entry 4:
This record from the Alexandria database describes crystalline CaAl2Zn at its relaxed geometry. The functional is PBE.

a b c (Å): 3.3033 3.4955 7.0436
angles (deg): 90.00 90.00 90.00
Space group Pmm2 (No. 25)
Symmetry-distinct sites (fractional):
Ca1 0.0000 0.0000 0.0000 [1 per cell]
Al1 0.0000 0.0000 0.4847 [1 per cell]
Al2 0.5000 0.5000 0.6909 [1 per cell]
Zn1 0.5000 0.5000 0.2943 [1 per cell]

Summary:
VASP energy	-2.82	eV/atom
ΔH_f (0 K)	-0.51	eV/f.u.



Entry 5:
This record from the Alexandria database describes crystalline Ac8CoNi3 at its relaxed geometry. The functional is PBE.

a b c (Å): 8.6183 8.6183 20.0826
angles (deg): 90.00 90.00 120.00
Space group R-3m (No. 166, hexagonal axes)
Symmetry-distinct sites (fractional):
Ac1 0.0000 0.0000 0.2437 [6 per cell]
Ac2 0.0076 0.5038 0.2444 [18 per cell]
Co1 0.0000 0.0000 0.5000 [3 per cell]
Ni1 0.0000 0.5000 0.5000 [9 per cell]

Summary:
VASP energy	-4.91	eV/atom
ΔH_f (0 K)	-1.61	eV/f.u.



Entry 6:
This record from the Alexandria database describes crystalline TcNiAgHg2 at its relaxed geometry. The functional is PBE.

a b c (Å): 4.8869 4.8869 4.5077
angles (deg): 90.00 90.00 90.00
Space group P4/mmm (No. 123)
Symmetry-distinct sites (fractional):
Tc1 0.0000 0.0000 0.0000 [1 per cell]
Ni1 0.0000 0.0000 0.5000 [1 per cell]
Ag1 0.5000 0.5000 0.0000 [1 per cell]
Hg1 0.0000 0.5000 0.5000 [2 per cell]

Summary:
VASP energy	-3.03	eV/atom
ΔH_f (0 K)	4.44	eV/f.u.



Entry 7:
This record from the Alexandria database describes crystalline PtCl5 at its relaxed geometry. The functional is PBE.

a b c (Å): 3.4857 11.9689 8.2591
angles (deg): 90.00 90.00 90.00
Space group Cmmm (No. 65)
Symmetry-distinct sites (fractional):
Pt1 0.0000 0.0000 0.0000 [2 per cell]
Cl1 0.0000 0.1667 0.5000 [4 per cell]
Cl2 0.0000 0.3723 0.0000 [4 per cell]
Cl3 0.0000 0.5000 0.5000 [2 per cell]

Summary:
E above lowest polymorph	111	meV/atom
raw formation energy	0.0352	eV/atom
VASP energy	-2.51	eV/atom



Entry 8:
This record from the Alexandria database describes crystalline La5DyHo2Tm at its relaxed geometry. The functional is PBE.

a b c (Å): 5.5063 21.6812 10.6172
angles (deg): 90.00 90.00 90.00
Space group Cmc2_1 (No. 36)
Symmetry-distinct sites (fractional):
La1 0.0000 0.9998 0.0000 [4 per cell]
La2 0.0000 0.1239 0.2503 [4 per cell]
La3 0.0000 0.2195 0.9417 [4 per cell]
La4 0.0000 0.2206 0.5612 [4 per cell]
La5 0.0000 0.4970 0.2501 [4 per cell]
Dy1 0.0000 0.2925 0.2512 [4 per cell]
Ho1 0.0000 0.3864 0.9964 [4 per cell]
Ho2 0.0000 0.3872 0.5041 [4 per cell]
Tm1 0.0000 0.1006 0.7501 [4 per cell]

Summary:
VASP energy	-4.64	eV/atom
ΔH_f (0 K)	1.15	eV/f.u.



Entry 9:
This record from the Alexandria database describes crystalline LiMg4Hg5 at its relaxed geometry. The functional is PBE.

a b c (Å): 3.4463 3.4463 17.5277
angles (deg): 90.00 90.00 90.00
Space group P4/mmm (No. 123)
Symmetry-distinct sites (fractional):
Li1 0.0000 0.0000 0.0000 [1 per cell]
Mg1 0.0000 0.0000 0.1936 [2 per cell]
Mg2 0.0000 0.0000 0.3990 [2 per cell]
Hg1 0.5000 0.5000 0.0899 [2 per cell]
Hg2 0.5000 0.5000 0.2965 [2 per cell]
Hg3 0.5000 0.5000 0.5000 [1 per cell]

Summary:
VASP energy	-1.23	eV/atom
ΔH_f (0 K)	-2.53	eV/f.u.



Entry 10:
This record from the Alexandria database describes crystalline PuNpMn at its relaxed geometry. The functional is PBE.

a b c (Å): 4.1405 4.1405 20.5082
angles (deg): 90.00 90.00 120.00
Space group R-3m (No. 166, hexagonal axes)
Symmetry-distinct sites (fractional):
Pu1 0.0000 0.0000 0.1441 [6 per cell]
Np1 0.0000 0.0000 0.4208 [6 per cell]
Mn1 0.0000 0.0000 0.3185 [6 per cell]

Summary:
E above lowest polymorph	309	meV/atom
VASP energy	-11.68	eV/atom
ΔH_f (0 K)	1.40	eV/f.u.



Entry 11:
This record from the Alexandria database describes crystalline TaCoSe2N at its relaxed geometry. The functional is PBE.

a b c (Å): 5.1565 5.1565 3.8575
angles (deg): 90.00 90.00 90.00
Space group P4/mmm (No. 123)
Symmetry-distinct sites (fractional):
Ta1 0.0000 0.0000 0.0000 [1 per cell]
Co1 0.5000 0.5000 0.5000 [1 per cell]
Se1 0.0000 0.5000 0.0000 [2 per cell]
N1 0.0000 0.0000 0.5000 [1 per cell]

Summary:
E above lowest polymorph	0	meV/atom
raw formation energy	0.4051	eV/atom
VASP energy	-6.45	eV/atom



Entry 12:
This record from the Alexandria database describes crystalline TmTcC at its relaxed geometry. The functional is PBE.

a b c (Å): 17.3793 4.0511 5.9703
angles (deg): 90.00 97.78 90.00
Space group C2/m (No. 12)
Symmetry-distinct sites (fractional):
Tm1 0.0740 0.0000 0.2901 [4 per cell]
Tm2 0.0936 0.5000 0.8117 [4 per cell]
Tc1 0.2173 0.0000 0.6098 [4 per cell]
Tc2 0.2224 0.0000 0.1170 [4 per cell]
C1 0.1911 0.5000 0.5834 [4 per cell]
C2 0.1921 0.5000 0.1228 [4 per cell]

Summary:
E above lowest polymorph	214	meV/atom
VASP energy	-8.04	eV/atom
ΔH_f (0 K)	-0.06	eV/f.u.